# 1
The following is a DFT calculation (GGA-PBE) of crystalline Ni5H12Rh2 at its relaxed geometry.

abc: 9.411 5.352 5.364
angles: 90.00 107.23 90.00
Space group C2/m (No. 12)
Asymmetric unit:
Ni: 0.000 0.000 0.000
Ni: 0.223 0.500 0.934
Ni: 0.243 0.500 0.457
H: 0.046 0.500 0.311
H: 0.070 0.000 0.334
H: 0.135 0.205 0.990
H: 0.200 0.278 0.655
Rh: 0.000 0.252 0.500

Calculated values
- electronic total energy (eV for the cell shown) = -164.164

***

# 2
The following is a DFT calculation (GGA-PBE) of crystalline NiH8Rh2 at its relaxed geometry.

abc: 8.553 2.832 6.682
angles: 90.00 107.17 90.00
Space group C2/m (No. 12)
Asymmetric unit:
Ni: 0.000 0.000 0.000
H: 0.046 0.500 0.156
H: 0.127 0.000 0.837
H: 0.145 0.500 0.537
H: 0.211 0.000 0.144
Rh: 0.249 0.500 0.311

Calculated values
- electronic total energy (eV for the cell shown) = -92.740

***

# 3
The following is a DFT calculation (GGA-PBE) of crystalline NiH2Rh at its relaxed geometry.

abc: 4.021 4.021 7.966
angles: 90.00 90.00 90.00
Space group I-42d (No. 122)
Asymmetric unit:
Ni: 0.000 0.000 0.000
H: 0.224 0.250 0.125
Rh: 0.000 0.000 0.500

Calculated values
- electronic total energy (eV for the cell shown) = -78.940

***

# 4
The following is a DFT calculation (GGA-PBE) of crystalline NiH6Rh at its relaxed geometry.

abc: 2.878 4.454 4.483
angles: 99.90 108.51 108.81
Space group P-1 (No. 2)
Asymmetric unit:
Ni: 0.000 0.000 0.000
H: 0.006 0.251 0.758
H: 0.323 0.228 0.418
H: 0.337 0.755 0.918
Rh: 0.000 0.500 0.500

Calculated values
- electronic total energy (eV for the cell shown) = -32.481

***

# 5
The following is a DFT calculation (GGA-PBE) of crystalline NiHRh2 at its relaxed geometry.

abc: 2.668 2.668 6.078
angles: 90.00 90.00 90.00
Space group P4/mmm (No. 123)
Asymmetric unit:
Ni: 0.000 0.000 0.000
H: 0.000 0.000 0.500
Rh: 0.500 0.500 0.291

Calculated values
- E above lowest polymorph (kJ per mole of atoms) = 18.2
- electronic total energy (eV for the cell shown) = -22.764

***

# 6
The following is a DFT calculation (GGA-PBE) of crystalline Ni2HRh at its relaxed geometry.

abc: 2.649 6.982 4.428
angles: 90.00 106.44 90.00
Space group P2_1/m (No. 11)
Asymmetric unit:
Ni: 0.131 0.070 0.268
H: 0.126 0.750 0.531
Rh: 0.415 0.250 0.820

Calculated values
- E above lowest polymorph (kJ per mole of atoms) = 6.0
- electronic total energy (eV for the cell shown) = -43.889

***

# 7
The following is a DFT calculation (GGA-PBE) of crystalline Ni8H4Rh at its relaxed geometry.

abc: 12.769 2.590 8.702
angles: 90.00 130.22 90.00
Space group C2/m (No. 12)
Asymmetric unit:
Ni: 0.037 0.000 0.239
Ni: 0.129 0.500 0.092
Ni: 0.166 0.500 0.832
Ni: 0.203 0.500 0.577
H: 0.147 0.000 0.967
H: 0.163 0.500 0.327
Rh: 0.000 0.000 0.500

Calculated values
- electronic total energy (eV for the cell shown) = -134.106

***

# 8
The following is a DFT calculation (GGA-PBE) of crystalline NiH2Rh at its relaxed geometry.

abc: 2.7507 2.7507 14.4223
angles: 90.00 90.00 120.00
Space group R3m (No. 160, hexagonal axes)
Asymmetric unit:
Ni: 0.0000 0.0000 0.0000
H: 0.0000 0.0000 0.6063
H: 0.0000 0.0000 0.7748
Rh: 0.0000 0.0000 0.1789

Calculated values
- electronic total energy (eV for the cell shown) = -58.338

***

# 9
The following is a DFT calculation (GGA-PBE) of crystalline NiH10Rh4 at its relaxed geometry.

abc: 6.823 6.823 4.315
angles: 90.00 90.00 90.00
Space group I4/m (No. 87)
Asymmetric unit:
Ni: 0.000 0.000 0.000
H: 0.000 0.500 0.250
H: 0.098 0.197 0.245
Rh: 0.101 0.704 0.500

Calculated values
- electronic total energy (eV for the cell shown) = -137.323

***

# 10
The following is a DFT calculation (GGA-PBE) of crystalline Ni2H7Rh2 at its relaxed geometry.

abc: 8.381 8.381 8.381
angles: 90.00 90.00 90.00
Space group Fd-3m (No. 227, origin choice 2)
Asymmetric unit:
Ni: 0.000 0.000 0.000
H: 0.106 0.375 0.375
H: 0.125 0.125 0.625
Rh: 0.000 0.000 0.500

Calculated values
- electronic total energy (eV for the cell shown) = -396.076

***

# 11
The following is a DFT calculation (GGA-PBE) of crystalline NiH6Rh2 at its relaxed geometry.

abc: 2.987 4.221 9.307
angles: 90.00 90.00 90.00
Space group Immm (No. 71)
Asymmetric unit:
Ni: 0.000 0.000 0.000
H: 0.000 0.236 0.164
H: 0.000 0.253 0.500
Rh: 0.000 0.000 0.339

Calculated values
- electronic total energy (eV for the cell shown) = -81.056

***

# 12
The following is a DFT calculation (GGA-PBE) of crystalline NiH8Rh3 at its relaxed geometry.

abc: 4.864 8.080 5.203
angles: 90.00 90.00 90.00
Space group C222 (No. 21)
Asymmetric unit:
Ni: 0.000 0.000 0.000
H: 0.000 0.226 0.000
H: 0.000 0.233 0.500
H: 0.243 0.028 0.238
Rh: 0.000 0.000 0.500
Rh: 0.250 0.250 0.242

Calculated values
- electronic total energy (eV for the cell shown) = -106.650